First-principles (PBE-GGA) data for a geometry-optimized ZrCuSb2Te structure, as listed in Alexandria.

extended XYZ file:
```
5
Lattice="5.554 0.000 0.000 0.000 5.554 0.000 0.000 0.000 5.511" Properties=species:S:1:pos:R:3 pbc="T T T"
Zr 0.000 0.000 0.000
Cu 2.777 2.777 2.756
Sb 0.000 2.777 0.000
Sb 2.777 0.000 0.000
Te 0.000 0.000 2.756
```

## Properties
The polymorph energy (0 for the lowest one) is 45 kJ/mol of formula units. The volume comes out at 170.0 Å³/cell. The raw formation energy comes out at 0.5300 eV/atom.